1.
TbNdAg4: optimized geometry, GGA-PBE.

Results
* DFT formation energy: -0.289 eV per atom

abc: 3.7619 3.7619 9.3758
angles: 90.00 90.00 90.00
Closest atoms and distances in Å follow each position.
Space group P4/mmm (No. 123)
Asymmetric unit:
Tb: 0.0000 0.0000 0.0000 x1  10 Ag 3.01-3.08
Nd: 0.5000 0.5000 0.5000 x1  10 Ag 3.13-3.14
Ag: 0.0000 0.0000 0.3215 x2  1 Tb 3.01, 5 Ag 3.03-3.35, 4 Nd 3.14
Ag: 0.5000 0.5000 0.1660 x2  5 Ag 3.03-3.11, 4 Tb 3.08, 1 Nd 3.13

***

2.
RbInBAu: optimized geometry, GGA-PBE.

abc: 7.2904 7.2904 7.2904
angles: 90.00 90.00 90.00
Closest atoms and distances in Å follow each position.
Space group F-43m (No. 216)
Asymmetric unit:
Rb: 0.0000 0.0000 0.0000 x4  4 Au 3.16, 4 In 3.16
In: 0.2500 0.2500 0.2500 x4  4 Rb 3.16, 4 B 3.16
B: 0.0000 0.0000 0.5000 x4  4 In 3.16, 4 Au 3.16
Au: 0.2500 0.2500 0.7500 x4  4 B 3.16, 4 Rb 3.16

***

3.
KSrTmTe3: optimized geometry, GGA-PBE.

abc: 8.5048 4.4018 12.8862
angles: 90.00 107.53 90.00
Closest atoms and distances in Å follow each position.
Space group P2_1/m (No. 11)
Asymmetric unit:
K: 0.0133 0.2500 0.3753 x2  5 Te 3.32-3.50
Sr: 0.4957 0.7500 0.3255 x2  3 Te 3.21-3.32
Tm: 0.1357 0.2500 0.9149 x2  5 Te 2.94-3.19
Te: 0.1497 0.2500 0.1458 x2  3 Tm 2.94-3.19
Te: 0.2937 0.7500 0.5093 x2  3 Sr 3.21-3.32, 3 K 3.32-3.37
Te: 0.3310 0.7500 0.8573 x2  2 Tm 2.98

***

| no. | total energy (eV per atom) | V (Å³/cell) |
| --- | --- | --- |
| 1 | -3.74 | 132.69 |
| 2 | -2.28 | 387.48 |
| 3 | -4.03 | 460.00 |